1.
DFT (PBE-GGA) results for an optimized crystal structure of SiNi.

```
data_SiNi
_cell_length_a 2.7635
_cell_length_b 2.7635
_cell_length_c 22.1787
_cell_angle_alpha 90.00
_cell_angle_beta 90.00
_cell_angle_gamma 120.00
_space_group_name_H-M_alt 'R -3 m'
_space_group_IT_number 166
_space_group_name_Hall '-R 3 2"'
loop_
_atom_site_label
_atom_site_type_symbol
_atom_site_fract_x
_atom_site_fract_y
_atom_site_fract_z
Si1 Si 0.0000 0.0000 0.1198
Ni1 Ni 0.0000 0.0000 0.3791
```

V in A^3/atom: 12.224
E in eV/atom: -5.660

***

2.
DFT (PBE-GGA) results for an optimized crystal structure of Si2CBrF.

```
data_Si2CBrF
_cell_length_a 4.164
_cell_length_b 4.164
_cell_length_c 5.475
_cell_angle_alpha 90.00
_cell_angle_beta 90.00
_cell_angle_gamma 90.00
_space_group_name_H-M_alt 'P 4/m m m'
_space_group_IT_number 123
_space_group_name_Hall '-P 4 2'
loop_
_atom_site_label
_atom_site_type_symbol
_atom_site_fract_x
_atom_site_fract_y
_atom_site_fract_z
Si1 Si 0.000 0.500 0.000
C1 C 0.000 0.000 0.500
Br1 Br 0.500 0.500 0.500
F1 F 0.500 0.500 0.000
```

V in A^3/atom: 18.991
E in eV/atom: -3.257

***

3.
DFT (PBE-GGA) results for an optimized crystal structure of Sm5GaRh4.

```
data_Sm5GaRh4
_cell_length_a 3.568
_cell_length_b 3.568
_cell_length_c 17.289
_cell_angle_alpha 90.00
_cell_angle_beta 90.00
_cell_angle_gamma 90.00
_space_group_name_H-M_alt 'P 4/m m m'
_space_group_IT_number 123
_space_group_name_Hall '-P 4 2'
loop_
_atom_site_label
_atom_site_type_symbol
_atom_site_fract_x
_atom_site_fract_y
_atom_site_fract_z
Sm1 Sm 0.000 0.000 0.000
Sm2 Sm 0.000 0.000 0.197
Sm3 Sm 0.000 0.000 0.392
Ga1 Ga 0.500 0.500 0.500
Rh1 Rh 0.500 0.500 0.099
Rh2 Rh 0.500 0.500 0.298
```

V in A^3/atom: 22.016
Energy of formation from the pure elements in meV per atom: -683

***

4.
DFT (PBE-GGA) results for an optimized crystal structure of Ac3InSb.

```
data_Ac3InSb
_cell_length_a 6.227
_cell_length_b 6.227
_cell_length_c 6.227
_cell_angle_alpha 90.00
_cell_angle_beta 90.00
_cell_angle_gamma 90.00
_space_group_name_H-M_alt 'P m -3 m'
_space_group_IT_number 221
_space_group_name_Hall '-P 4 2 3'
loop_
_atom_site_label
_atom_site_type_symbol
_atom_site_fract_x
_atom_site_fract_y
_atom_site_fract_z
Ac1 Ac 0.000 0.000 0.500
In1 In 0.500 0.500 0.500
Sb1 Sb 0.000 0.000 0.000
```

V in A^3/atom: 48.295
E in eV/atom: -3.956

***

5.
DFT (PBE-GGA) results for an optimized crystal structure of FePt2Br.

```
data_FePt2Br
_cell_length_a 9.994
_cell_length_b 3.005
_cell_length_c 4.571
_cell_angle_alpha 90.00
_cell_angle_beta 99.31
_cell_angle_gamma 90.00
_space_group_name_H-M_alt 'C 1 2/m 1'
_space_group_IT_number 12
loop_
_space_group_symop_operation_xyz
'x,y,z'
'-x,-y,-z'
'-x,y,-z'
'x,-y,z'
'x+1/2,y+1/2,z'
'-x+1/2,-y+1/2,-z'
'-x+1/2,y+1/2,-z'
'x+1/2,-y+1/2,z'
loop_
_atom_site_label
_atom_site_type_symbol
_atom_site_fract_x
_atom_site_fract_y
_atom_site_fract_z
Fe1 Fe 0.000 0.000 0.000
Pt1 Pt 0.219 0.500 0.230
Br1 Br 0.000 0.500 0.500
```

Energy above the lowest structure with this stoichiometry in eV per formula unit: 0.83
V in A^3/atom: 16.934

***

6.
DFT (PBE-GGA) results for an optimized crystal structure of DyHf2WC4.

```
data_DyHf2WC4
_cell_length_a 3.319
_cell_length_b 11.617
_cell_length_c 11.679
_cell_angle_alpha 90.00
_cell_angle_beta 90.00
_cell_angle_gamma 90.00
_space_group_name_H-M_alt 'C m c m'
_space_group_IT_number 63
_space_group_name_Hall '-C 2c 2'
loop_
_atom_site_label
_atom_site_type_symbol
_atom_site_fract_x
_atom_site_fract_y
_atom_site_fract_z
Dy1 Dy 0.000 0.113 0.250
Hf1 Hf 0.000 0.370 0.035
W1 W 0.000 0.153 0.750
C1 C 0.000 0.000 0.000
C2 C 0.000 0.258 0.618
C3 C 0.000 0.448 0.250
```

V in A^3/atom: 14.071
Energy of formation from the pure elements in meV per atom: -372